## Sm4CNO2 (PBE)

Data for an optimized crystal structure of Sm4CNO2.

Cell: 5.075 5.075 6.190 Å, 114.20 114.20 90.00°
Sites, in units of the cell vectors:
Sm 0.685 0.685 0.496
Sm 0.937 0.437 0.000
Sm 0.437 0.937 0.000
Sm 0.189 0.189 0.504
N 0.437 0.437 0.000
O 0.187 0.687 0.500
O 0.687 0.187 0.500
C 0.937 0.937 0.000

N(E_F) = 0.32 states/eV/atom
ΔE_f (raw) = -1.888 eV per atom
M_tot = 0.000 μB per formula unit


## SnCN2O (PBE)

Data for an optimized crystal structure of SnCN2O.

Cell: 3.540 3.540 3.476 Å, 90.00 90.00 90.00°
Sites, in units of the cell vectors:
O 0.000 0.000 0.500
C 0.000 0.000 0.000
N 0.500 0.000 0.000
N 0.000 0.500 0.000
Sn 0.500 0.500 0.500

N(E_F) = 0.41 states/eV/atom
ΔE_f (raw) = 1.563 eV per atom
M_tot = 0.000 μB per formula unit


What did the second record say?
## SnCN2O (PBE)

Data for an optimized crystal structure of SnCN2O.

Cell: 3.540 3.540 3.476 Å, 90.00 90.00 90.00°
Sites, in units of the cell vectors:
O 0.000 0.000 0.500
C 0.000 0.000 0.000
N 0.500 0.000 0.000
N 0.000 0.500 0.000
Sn 0.500 0.500 0.500

N(E_F) = 0.41 states/eV/atom
ΔE_f (raw) = 1.563 eV per atom
M_tot = 0.000 μB per formula unit